[1]
## Mg2InO2 (PBE)

Data for Mg2InO2 after structural relaxation.

Calculated values
Total magnetic moment in μB per formula unit: 0.0
SG: I4/mmm, No. 139
E_tot in eV per atom: -4.904
E_form (uncorrected) in eV per atom: -1.74

abc: 3.934 3.934 6.842
angles: 73.29 73.29 90.00
Element x y z (fractional)
O (0.780, 0.780, 0.440)
O (0.220, 0.220, 0.560)
Mg (0.750, 0.250, 0.500)
Mg (0.250, 0.750, 0.500)
In (0.000, 0.000, 0.000)

[2]
## BeMoPbW2 (PBE)

Data for BeMoPbW2 after structural relaxation.

Calculated values
Energy of formation from the pure elements in kJ/mol of atoms: 321.2
Total magnetic moment in μB per formula unit: 0.0
SG: P4/mmm, No. 123
E_tot in eV per atom: -5.505

abc: 4.985 4.972 4.985
angles: 90.00 90.00 90.00
Element x y z (fractional)
Be (0.500, 0.500, 0.500)
W (0.000, 0.000, 0.500)
Pb (0.000, 0.000, 0.000)
Mo (0.000, 0.500, 0.000)
W (0.500, 0.000, 0.000)

[3]
## ScNbBi2 (PBE)

Data for ScNbBi2 after structural relaxation.

Calculated values
Energy of formation from the pure elements in kJ/mol of atoms: 49.5
Total magnetic moment in μB per formula unit: 2.0
SG: I-42d, No. 122
E_tot in eV per atom: -5.528

abc: 6.484 6.484 8.334
angles: 67.11 67.11 90.00
Site moments in Bohr magnetons follow the coordinates.
Element x y z (fractional)
Nb (0.000, 0.000, 0.000)  1.56
Bi (0.110, 0.625, 0.250)  -0.07
Bi (0.640, 0.125, 0.250)  -0.08
Nb (0.750, 0.250, 0.500)  1.57
Sc (0.500, 0.500, 0.000)  0.16
Bi (0.875, 0.890, 0.750)  -0.07
Bi (0.375, 0.360, 0.750)  -0.08
Sc (0.250, 0.750, 0.500)  0.15